# 1
A relaxed structure of GeBP2Cl, computed with PBE.

Unit cell a=4.737 b=4.737 c=5.007 alpha=90.00 beta=90.00 gamma=90.00
Space group P4/mmm (No. 123)
Asymmetric unit:
Ge1 0.000 0.000 0.000
B1 0.500 0.500 0.500
P1 0.000 0.500 0.000
Cl1 0.000 0.000 0.500

The calculation puts the formation energy from raw total energies at 1.51 eV per atom. The value obtained for the total moment is 1.09 μB per formula unit. As for the volume: 22.47 Å³/atom. For the uncorrected energy, the calculation gives -0.2411 Ry/atom.

# 2
A relaxed structure of AcErInCu, computed with PBE.

Unit cell a=7.644 b=7.644 c=7.644 alpha=90.00 beta=90.00 gamma=90.00
Space group F-43m (No. 216)
Asymmetric unit:
Ac1 0.000 0.000 0.000
Er1 0.000 0.000 0.500
In1 0.250 0.250 0.250
Cu1 0.250 0.250 0.750

The value obtained for the total moment is 0.00 μB per formula unit. As for the volume: 27.91 Å³/atom. As for the formation enthalpy at 0 K: -0.199 eV per atom. For the uncorrected energy, the calculation gives -0.2995 Ry/atom.

# 3
A relaxed structure of Zr2TcBi, computed with PBE.

Unit cell a=7.811 b=7.811 c=5.985 alpha=90.00 beta=90.00 gamma=90.00
Space group I-42d (No. 122)
Asymmetric unit:
Zr1 0.198 0.250 0.125
Tc1 0.000 0.000 0.000
Bi1 0.000 0.000 0.500

The value obtained for the total moment is 0.00 μB per formula unit. As for the volume: 22.82 Å³/atom. As for the formation enthalpy at 0 K: 0.197 eV per atom. For the uncorrected energy, the calculation gives -0.5615 Ry/atom.

# 4
A relaxed structure of Cr2HIrAu, computed with PBE.

Unit cell a=3.873 b=3.873 c=3.891 alpha=90.00 beta=90.00 gamma=90.00
Space group P4/mmm (No. 123)
Asymmetric unit:
Cr1 0.000 0.500 0.000
H1 0.000 0.000 0.000
Ir1 0.000 0.000 0.500
Au1 0.500 0.500 0.500

The value obtained for the total moment is 2.79 μB per formula unit. As for the volume: 11.67 Å³/atom. For the uncorrected energy, the calculation gives -0.4966 Ry/atom.

# 5
A relaxed structure of GaSbP2C, computed with PBE.

Unit cell a=4.319 b=4.319 c=4.269 alpha=90.00 beta=90.00 gamma=90.00
Space group P4/mmm (No. 123)
Asymmetric unit:
Ga1 0.000 0.000 0.000
Sb1 0.500 0.500 0.000
P1 0.000 0.500 0.500
C1 0.000 0.000 0.500

The calculation puts the formation energy from raw total energies at 0.91 eV per atom. The value obtained for the total moment is 0.00 μB per formula unit. As for the volume: 15.93 Å³/atom. For the uncorrected energy, the calculation gives -0.3328 Ry/atom.

# 6
A relaxed structure of FeNiAsSe, computed with PBE.

Unit cell a=3.6199 b=3.6199 c=5.2901 alpha=90.00 beta=90.00 gamma=120.00
Space group P3m1 (No. 156)
Asymmetric unit:
Fe1 0.0000 0.0000 0.0000
Ni1 0.0000 0.0000 0.5169
As1 0.3333 0.6667 0.7575
Se1 0.6667 0.3333 0.2554

The calculation puts the formation energy from raw total energies at -0.15 eV per atom. The value obtained for the total moment is 1.80 μB per formula unit. As for the volume: 15.01 Å³/atom. For the uncorrected energy, the calculation gives -0.4224 Ry/atom.

# 7
A relaxed structure of TcPdBr, computed with PBE.

Unit cell a=2.938 b=3.022 c=12.754 alpha=90.00 beta=90.00 gamma=90.00
Space group Imm2 (No. 44)
Asymmetric unit:
Tc1 0.000 0.000 0.000
Pd1 0.000 0.000 0.369
Br1 0.000 0.500 0.156

The calculation puts the formation energy from raw total energies at 0.46 eV per atom. The value obtained for the total moment is 0.00 μB per formula unit. As for the volume: 18.88 Å³/atom. For the uncorrected energy, the calculation gives -0.3887 Ry/atom.

# 8
A relaxed structure of MnAu2I6, computed with PBE.

Unit cell a=7.674 b=7.477 c=13.933 alpha=90.00 beta=111.72 gamma=90.00
Space group P2_1/c (No. 14)
Asymmetric unit:
Mn1 0.000 0.000 0.000
Au1 0.453 0.222 0.930
I1 0.098 0.152 0.846
I2 0.196 0.693 0.991
I3 0.291 0.138 0.147

The calculation puts the formation energy from raw total energies at -0.12 eV per atom. The value obtained for the total moment is 2.90 μB per formula unit. As for the volume: 41.26 Å³/atom. For the uncorrected energy, the calculation gives -0.2135 Ry/atom.

# 9
A relaxed structure of Al2Te3, computed with PBE.

Unit cell a=12.285 b=12.502 c=7.331 alpha=90.00 beta=90.00 gamma=90.00
Space group Fdd2 (No. 43)
Asymmetric unit:
Al1 0.047 0.373 0.000
Te1 0.000 0.000 0.804
Te2 0.079 0.298 0.646

The calculation puts the formation energy from raw total energies at -0.25 eV per atom. The value obtained for the total moment is 0.00 μB per formula unit. As for the volume: 28.15 Å³/atom. For the uncorrected energy, the calculation gives -0.2669 Ry/atom.

# 10
A relaxed structure of Cd2TcSe, computed with PBE.

Unit cell a=5.866 b=8.973 c=2.875 alpha=90.00 beta=90.00 gamma=90.00
Space group Cmmm (No. 65)
Asymmetric unit:
Cd1 0.250 0.250 0.000
Tc1 0.000 0.000 0.500
Se1 0.000 0.500 0.500

The calculation puts the formation energy from raw total energies at 0.42 eV per atom. The value obtained for the total moment is 0.01 μB per formula unit. As for the volume: 18.91 Å³/atom. For the uncorrected energy, the calculation gives -0.2572 Ry/atom.

# 11
A relaxed structure of LaFeH2, computed with PBE.

Unit cell a=5.799 b=5.799 c=5.799 alpha=90.00 beta=90.00 gamma=90.00
Space group Fm-3m (No. 225)
Asymmetric unit:
La1 0.000 0.000 0.000
Fe1 0.000 0.000 0.500
H1 0.250 0.250 0.250

The value obtained for the total moment is 0.00 μB per formula unit. As for the volume: 12.19 Å³/atom. For the uncorrected energy, the calculation gives -0.3476 Ry/atom.